Entry w
DFT (PBE) results for a relaxed KBaSr2Li crystal.

SG = No. 123

Lattice parameters (Å, degrees): 6.5786 6.5786 6.5435 90.00 90.00 90.00
Fractional positions:
Sr (0.5000, 0.0000, 0.0000)
Sr (0.0000, 0.5000, 0.0000)
Ba (0.5000, 0.5000, 0.5000)
Li (0.0000, 0.0000, 0.0000)
K (0.0000, 0.0000, 0.5000)



Entry x
DFT (PBE) results for a relaxed KBaSr2Li crystal.

SG = No. 123

Lattice parameters (Å, degrees): 6.6093 6.6093 6.7206 90.00 90.00 90.00
Fractional positions:
Sr (0.0000, 0.5000, 0.0000)
Sr (0.5000, 0.0000, 0.0000)
Ba (0.0000, 0.0000, 0.5000)
Li (0.0000, 0.0000, 0.0000)
K (0.5000, 0.5000, 0.5000)



Energies relative to the minimum, eV/atom: entry w 0.033; entry x 0.000



Entry w
DFT (PBE) results for a relaxed K3BaMg crystal.

SG = No. 221

Lattice parameters (Å, degrees): 8.3435 8.3435 8.3435 90.00 90.00 90.00
Fractional positions:
K (0.0000, 0.0000, 0.5000)
K (0.0000, 0.5000, 0.0000)
K (0.5000, 0.0000, 0.0000)
Ba (0.0000, 0.0000, 0.0000)
Mg (0.5000, 0.5000, 0.5000)



Entry x
DFT (PBE) results for a relaxed K3BaMg crystal.

SG = No. 221

Lattice parameters (Å, degrees): 6.9920 6.9920 6.9920 90.00 90.00 90.00
Fractional positions:
K (0.5000, 0.0000, 0.0000)
K (0.0000, 0.5000, 0.0000)
K (0.0000, 0.0000, 0.5000)
Ba (0.5000, 0.5000, 0.5000)
Mg (0.0000, 0.0000, 0.0000)



Energies relative to the minimum, eV/atom: entry w 0.420; entry x 0.000



Entry w
DFT (PBE) results for a relaxed KBa2Mg2 crystal.

SG = No. 127

Lattice parameters (Å, degrees): 10.0604 10.0604 4.7847 90.00 90.00 90.00
Fractional positions:
K (0.5000, 0.5000, 0.0000)
K (0.0000, 0.0000, 0.0000)
Ba (0.1655, 0.6655, 0.5000)
Ba (0.6655, 0.8345, 0.5000)
Ba (0.8345, 0.3345, 0.5000)
Ba (0.3345, 0.1655, 0.5000)
Mg (0.6192, 0.1192, 0.0000)
Mg (0.3808, 0.8808, 0.0000)
Mg (0.1192, 0.3808, 0.0000)
Mg (0.8808, 0.6192, 0.0000)



Entry x
DFT (PBE) results for a relaxed KBa2Mg2 crystal.

SG = No. 127

Lattice parameters (Å, degrees): 10.7033 10.7033 4.0794 90.00 90.00 90.00
Fractional positions:
Mg (0.6568, 0.8432, 0.5000)
Mg (0.1568, 0.6568, 0.5000)
Mg (0.3432, 0.1568, 0.5000)
Mg (0.8432, 0.3432, 0.5000)
Ba (0.6343, 0.1343, 0.0000)
Ba (0.3657, 0.8657, 0.0000)
Ba (0.8657, 0.6343, 0.0000)
Ba (0.1343, 0.3657, 0.0000)
K (0.0000, 0.0000, 0.0000)
K (0.5000, 0.5000, 0.0000)



Entry y
DFT (PBE) results for a relaxed KBa2Mg2 crystal.

SG = No. 139

Lattice parameters (Å, degrees): 4.4405 4.4405 13.5099 80.54 80.54 90.00
Fractional positions:
Ba (0.3650, 0.3650, 0.2700)
Ba (0.6350, 0.6350, 0.7300)
Mg (0.2500, 0.7500, 0.5000)
Mg (0.7500, 0.2500, 0.5000)
K (0.0000, 0.0000, 0.0000)



Energies relative to the minimum, eV/atom: entry w 0.000; entry x 0.038; entry y 0.085



Entry w
DFT (PBE) results for a relaxed KBaMg6 crystal.

SG = No. 38

Lattice parameters (Å, degrees): 7.4005 7.4005 5.4120 90.00 90.00 116.96
Fractional positions:
Mg (0.8964, 0.1036, 0.5000)
Mg (0.6213, 0.9664, 0.0000)
Mg (0.8747, 0.5256, 0.5000)
Mg (0.5993, 0.4007, 0.0000)
Mg (0.0336, 0.3787, 0.0000)
Mg (0.4744, 0.1253, 0.5000)
K (0.0947, 0.9053, 0.0000)
Ba (0.4055, 0.5945, 0.5000)



Entry x
DFT (PBE) results for a relaxed KBaMg6 crystal.

SG = No. 38

Lattice parameters (Å, degrees): 8.0262 8.0262 5.1579 90.00 90.00 129.34
Fractional positions:
Mg (0.1251, 0.8749, 0.0000)
Mg (0.2351, 0.3215, 0.0000)
Mg (0.6588, 0.3412, 0.0000)
Mg (0.8098, 0.6562, 0.5000)
Mg (0.3438, 0.1902, 0.5000)
Mg (0.6785, 0.7649, 0.0000)
Ba (0.3052, 0.6948, 0.5000)
K (0.8438, 0.1562, 0.5000)



Energies relative to the minimum, eV/atom: entry w 0.000; entry x 0.043